No. 1
# Tl5BiPb5 | the Alexandria database | PBE | relaxed
data_Tl5BiPb5
_chemical_formula_sum 'Tl5 Bi1 Pb5'
_cell_length_a 6.2485
_cell_length_b 6.2485
_cell_length_c 11.5534
_cell_angle_alpha 90.00
_cell_angle_beta 90.00
_cell_angle_gamma 120.00
_symmetry_space_group_name_H-M 'P -6 m 2'
_symmetry_Int_Tables_number 187
_symmetry_space_group_name_Hall 'P -6 2'
loop_
_atom_site_label
_atom_site_type_symbol
_atom_site_fract_x
_atom_site_fract_y
_atom_site_fract_z
Tl1 Tl 0.0000 0.0000 0.0000
Tl2 Tl 0.3333 0.6667 0.2992
Tl3 Tl 0.6667 0.3333 0.1516
Bi1 Bi 0.3333 0.6667 0.0000
Pb1 Pb 0.0000 0.0000 0.2696
Pb2 Pb 0.3370 0.1685 0.5000
# theoretical density = 9.64 g cm⁻³
# energy relative to the elements = 0.139 eV/atom
# electronic total energy = -2.975 eV/atom
# size of the total moment = 0.000 μB per atom

***

No. 2
# Tl3Bi2Pb3 | the Alexandria database | PBE | relaxed
data_Tl3Bi2Pb3
_chemical_formula_sum 'Tl3 Bi2 Pb3'
_cell_length_a 9.3191
_cell_length_b 9.3191
_cell_length_c 3.5128
_cell_angle_alpha 90.00
_cell_angle_beta 90.00
_cell_angle_gamma 120.00
_symmetry_space_group_name_H-M 'P -6 2 m'
_symmetry_Int_Tables_number 189
_symmetry_space_group_name_Hall 'P -6 -2'
loop_
_atom_site_label
_atom_site_type_symbol
_atom_site_fract_x
_atom_site_fract_y
_atom_site_fract_z
Tl1 Tl 0.0000 0.2423 0.0000
Bi1 Bi 0.3333 0.6667 0.0000
Pb1 Pb 0.0000 0.6206 0.5000
# theoretical density = 10.39 g cm⁻³
# energy relative to the elements = 0.031 eV/atom
# electronic total energy = -3.218 eV/atom
# relative energy among the computed polymorphs = 0.26 kcal/mol of atoms
# size of the total moment = 0.000 μB per atom

***

No. 3
# TlBiPb | the Alexandria database | PBE | relaxed
data_TlBiPb
_chemical_formula_sum 'Tl4 Bi4 Pb4'
_cell_length_a 9.732
_cell_length_b 5.699
_cell_length_c 7.124
_cell_angle_alpha 90.00
_cell_angle_beta 90.10
_cell_angle_gamma 90.00
_symmetry_space_group_name_H-M 'C 1 m 1'
_symmetry_Int_Tables_number 8
_symmetry_space_group_name_Hall 'C -2y'
loop_
_atom_site_label
_atom_site_type_symbol
_atom_site_fract_x
_atom_site_fract_y
_atom_site_fract_z
Tl1 Tl 0.000 0.000 0.000
Tl2 Tl 0.002 0.000 0.500
Bi1 Bi 0.169 0.500 0.279
Bi2 Bi 0.333 0.000 0.774
Pb1 Pb 0.167 0.500 0.734
Pb2 Pb 0.334 0.000 0.227
# theoretical density = 10.43 g cm⁻³
# energy relative to the elements = -0.032 eV/atom
# electronic total energy = -3.350 eV/atom
# relative energy among the computed polymorphs = 0.00 kcal/mol of atoms
# size of the total moment = 0.000 μB per atom

***

No. 4
# Tl3Bi3Pb2 | the Alexandria database | PBE | relaxed
data_Tl3Bi3Pb2
_chemical_formula_sum 'Tl6 Bi6 Pb4'
_cell_length_a 18.814
_cell_length_b 5.474
_cell_length_c 5.169
_cell_angle_alpha 90.00
_cell_angle_beta 105.25
_cell_angle_gamma 90.00
_symmetry_space_group_name_H-M 'C 1 2/m 1'
_symmetry_Int_Tables_number 12
_symmetry_space_group_name_Hall '-C 2y'
loop_
_atom_site_label
_atom_site_type_symbol
_atom_site_fract_x
_atom_site_fract_y
_atom_site_fract_z
Tl1 Tl 0.000 0.000 0.000
Tl2 Tl 0.118 0.000 0.619
Bi1 Bi 0.000 0.500 0.500
Bi2 Bi 0.134 0.500 0.132
Pb1 Pb 0.243 0.000 0.246
# theoretical density = 10.70 g cm⁻³
# energy relative to the elements = -0.008 eV/atom
# electronic total energy = -3.277 eV/atom
# relative energy among the computed polymorphs = 0.00 kcal/mol of atoms
# size of the total moment = 0.000 μB per atom

***

No. 5
# Tl4BiPb2 | the Alexandria database | PBE | relaxed
data_Tl4BiPb2
_chemical_formula_sum 'Tl8 Bi2 Pb4'
_cell_length_a 10.474
_cell_length_b 10.474
_cell_length_c 4.356
_cell_angle_alpha 90.00
_cell_angle_beta 90.00
_cell_angle_gamma 90.00
_symmetry_space_group_name_H-M 'P 42/m n m'
_symmetry_Int_Tables_number 136
_symmetry_space_group_name_Hall '-P 4n 2n'
loop_
_atom_site_label
_atom_site_type_symbol
_atom_site_fract_x
_atom_site_fract_y
_atom_site_fract_z
Tl1 Tl 0.096 0.338 0.000
Bi1 Bi 0.000 0.000 0.500
Pb1 Pb 0.159 0.841 0.000
# theoretical density = 10.01 g cm⁻³
# energy relative to the elements = 0.099 eV/atom
# electronic total energy = -2.867 eV/atom
# relative energy among the computed polymorphs = 0.00 kcal/mol of atoms
# size of the total moment = 0.000 μB per atom

***

No. 6
# Tl2BiPb8 | the Alexandria database | PBE | relaxed
data_Tl2BiPb8
_chemical_formula_sum 'Tl4 Bi2 Pb16'
_cell_length_a 8.898
_cell_length_b 16.670
_cell_length_c 5.870
_cell_angle_alpha 90.00
_cell_angle_beta 124.12
_cell_angle_gamma 90.00
_symmetry_space_group_name_H-M 'C 1 2/m 1'
_symmetry_Int_Tables_number 12
_symmetry_space_group_name_Hall '-C 2y'
loop_
_atom_site_label
_atom_site_type_symbol
_atom_site_fract_x
_atom_site_fract_y
_atom_site_fract_z
Tl1 Tl 0.000 0.188 0.000
Bi1 Bi 0.000 0.500 0.500
Pb1 Pb 0.000 0.299 0.500
Pb2 Pb 0.084 0.000 0.316
Pb3 Pb 0.221 0.372 0.183
# theoretical density = 10.48 g cm⁻³
# energy relative to the elements = 0.104 eV/atom
# electronic total energy = -3.376 eV/atom
# relative energy among the computed polymorphs = 1.71 kcal/mol of atoms
# size of the total moment = 0.000 μB per atom

***

No. 7
# Tl3BiPb3 | the Alexandria database | PBE | relaxed
data_Tl3BiPb3
_chemical_formula_sum 'Tl9 Bi3 Pb9'
_cell_length_a 10.1647
_cell_length_b 10.1647
_cell_length_c 7.9707
_cell_angle_alpha 90.00
_cell_angle_beta 90.00
_cell_angle_gamma 120.00
_symmetry_space_group_name_H-M 'R 3 m'
_symmetry_Int_Tables_number 160
_symmetry_space_group_name_Hall 'R 3 -2"'
loop_
_atom_site_label
_atom_site_type_symbol
_atom_site_fract_x
_atom_site_fract_y
_atom_site_fract_z
Tl1 Tl 0.0944 0.5472 0.0000
Bi1 Bi 0.0000 0.0000 0.9724
Pb1 Pb 0.0263 0.5132 0.4179
# theoretical density = 10.08 g cm⁻³
# energy relative to the elements = 0.080 eV/atom
# electronic total energy = -3.078 eV/atom
# relative energy among the computed polymorphs = 0.68 kcal/mol of atoms
# size of the total moment = 0.000 μB per atom

***

No. 8
# Tl4Bi5Pb2 | the Alexandria database | PBE | relaxed
data_Tl4Bi5Pb2
_chemical_formula_sum 'Tl8 Bi10 Pb4'
_cell_length_a 11.402
_cell_length_b 7.094
_cell_length_c 10.508
_cell_angle_alpha 90.00
_cell_angle_beta 119.25
_cell_angle_gamma 90.00
_symmetry_space_group_name_H-M 'C 1 2/m 1'
_symmetry_Int_Tables_number 12
_symmetry_space_group_name_Hall '-C 2y'
loop_
_atom_site_label
_atom_site_type_symbol
_atom_site_fract_x
_atom_site_fract_y
_atom_site_fract_z
Tl1 Tl 0.201 0.000 0.032
Tl2 Tl 0.201 0.000 0.660
Bi1 Bi 0.000 0.500 0.000
Bi2 Bi 0.013 0.256 0.282
Pb1 Pb 0.186 0.500 0.599
# theoretical density = 10.20 g cm⁻³
# energy relative to the elements = 0.023 eV/atom
# electronic total energy = -3.276 eV/atom
# size of the total moment = 0.000 μB per atom

***

No. 9
# Tl3Bi4Pb4 | the Alexandria database | PBE | relaxed
data_Tl3Bi4Pb4
_chemical_formula_sum 'Tl6 Bi8 Pb8'
_cell_length_a 10.290
_cell_length_b 5.567
_cell_length_c 13.175
_cell_angle_alpha 90.00
_cell_angle_beta 90.00
_cell_angle_gamma 90.00
_symmetry_space_group_name_H-M 'A m m 2'
_symmetry_Int_Tables_number 38
_symmetry_space_group_name_Hall 'A 2 -2'
loop_
_atom_site_label
_atom_site_type_symbol
_atom_site_fract_x
_atom_site_fract_y
_atom_site_fract_z
Tl1 Tl 0.000 0.000 0.000
Tl2 Tl 0.303 0.000 0.111
Bi1 Bi 0.000 0.000 0.662
Bi2 Bi 0.238 0.000 0.462
Bi3 Bi 0.500 0.000 0.667
Pb1 Pb 0.000 0.000 0.295
Pb2 Pb 0.252 0.000 0.821
Pb3 Pb 0.500 0.000 0.323
# theoretical density = 10.02 g cm⁻³
# energy relative to the elements = 0.007 eV/atom
# electronic total energy = -3.398 eV/atom
# relative energy among the computed polymorphs = 0.28 kcal/mol of atoms
# size of the total moment = 0.000 μB per atom

***

No. 10
# Tl7Bi4Pb | the Alexandria database | PBE | relaxed
data_Tl7Bi4Pb
_chemical_formula_sum 'Tl7 Bi4 Pb1'
_cell_length_a 6.613
_cell_length_b 7.972
_cell_length_c 9.123
_cell_angle_alpha 65.08
_cell_angle_beta 75.64
_cell_angle_gamma 85.11
_symmetry_space_group_name_H-M 'P -1'
_symmetry_Int_Tables_number 2
_symmetry_space_group_name_Hall '-P 1'
loop_
_atom_site_label
_atom_site_type_symbol
_atom_site_fract_x
_atom_site_fract_y
_atom_site_fract_z
Tl1 Tl 0.000 0.000 0.000
Tl2 Tl 0.171 0.070 0.307
Tl3 Tl 0.345 0.565 0.186
Tl4 Tl 0.368 0.231 0.589
Bi1 Bi 0.112 0.620 0.580
Bi2 Bi 0.320 0.770 0.783
Pb1 Pb 0.500 0.000 0.000
# theoretical density = 9.72 g cm⁻³
# energy relative to the elements = 0.056 eV/atom
# electronic total energy = -2.927 eV/atom
# size of the total moment = 0.000 μB per atom

***

No. 11
# Tl2Bi2Pb | the Alexandria database | PBE | relaxed
data_Tl2Bi2Pb
_chemical_formula_sum 'Tl4 Bi4 Pb2'
_cell_length_a 9.556
_cell_length_b 9.556
_cell_length_c 3.612
_cell_angle_alpha 90.00
_cell_angle_beta 90.00
_cell_angle_gamma 90.00
_symmetry_space_group_name_H-M 'P 4/m b m'
_symmetry_Int_Tables_number 127
_symmetry_space_group_name_Hall '-P 4 2ab'
loop_
_atom_site_label
_atom_site_type_symbol
_atom_site_fract_x
_atom_site_fract_y
_atom_site_fract_z
Tl1 Tl 0.131 0.369 0.000
Bi1 Bi 0.168 0.668 0.500
Pb1 Pb 0.000 0.000 0.500
# theoretical density = 10.41 g cm⁻³
# energy relative to the elements = 0.071 eV/atom
# electronic total energy = -3.170 eV/atom
# relative energy among the computed polymorphs = 1.62 kcal/mol of atoms
# size of the total moment = 0.000 μB per atom

***

No. 12
# Tl2Bi2Pb | the Alexandria database | PBE | relaxed
data_Tl2Bi2Pb
_chemical_formula_sum 'Tl4 Bi4 Pb2'
_cell_length_a 4.475
_cell_length_b 4.475
_cell_length_c 17.473
_cell_angle_alpha 90.00
_cell_angle_beta 90.00
_cell_angle_gamma 90.00
_symmetry_space_group_name_H-M 'I 4/m m m'
_symmetry_Int_Tables_number 139
_symmetry_space_group_name_Hall '-I 4 2'
loop_
_atom_site_label
_atom_site_type_symbol
_atom_site_fract_x
_atom_site_fract_y
_atom_site_fract_z
Tl1 Tl 0.000 0.000 0.097
Bi1 Bi 0.000 0.500 0.250
Pb1 Pb 0.000 0.000 0.500
# theoretical density = 9.81 g cm⁻³
# energy relative to the elements = 0.170 eV/atom
# electronic total energy = -3.070 eV/atom
# relative energy among the computed polymorphs = 3.91 kcal/mol of atoms
# size of the total moment = 0.000 μB per atom